Model A:
{"formula": "KTa3Ag", "functional": "PBE", "state": "relaxed", "crystal_system": "cubic", "spacegroup": "Pm-3m, No. 221", "volume_a3_per_atom": 26.45, "cell": [[5.095, 0.000, 0.000], [0.000, 5.095, 0.000], [0.000, 0.000, 5.095]], "species": ["K", "Ta", "Ta", "Ta", "Ag"], "fractional_positions": [[0.000, 0.000, 0.000], [0.000, 0.500, 0.500], [0.500, 0.000, 0.500], [0.500, 0.500, 0.000], [0.500, 0.500, 0.500]]}

---

Model B:
{"formula": "KTa3Ag", "functional": "PBE", "state": "relaxed", "crystal_system": "cubic", "spacegroup": "Pm-3m, No. 221", "volume_a3_per_atom": 19.90, "cell": [[4.634, 0.000, 0.000], [0.000, 4.634, 0.000], [0.000, 0.000, 4.634]], "species": ["K", "Ta", "Ta", "Ta", "Ag"], "fractional_positions": [[0.000, 0.000, 0.000], [0.000, 0.000, 0.500], [0.000, 0.500, 0.000], [0.500, 0.000, 0.000], [0.500, 0.500, 0.500]]}

---

Q: Which of them is the most stable? A: model A.

---

Model A:
{"formula": "KTaAg3", "functional": "PBE", "state": "relaxed", "crystal_system": "cubic", "spacegroup": "Pm-3m, No. 221", "volume_a3_per_atom": 26.88, "cell": [[5.122, 0.000, 0.000], [0.000, 5.122, 0.000], [0.000, 0.000, 5.122]], "species": ["K", "Ta", "Ag", "Ag", "Ag"], "fractional_positions": [[0.000, 0.000, 0.000], [0.500, 0.500, 0.500], [0.000, 0.000, 0.500], [0.000, 0.500, 0.000], [0.500, 0.000, 0.000]]}

---

Model B:
{"formula": "KTaAg3", "functional": "PBE", "state": "relaxed", "crystal_system": "cubic", "spacegroup": "Pm-3m, No. 221", "volume_a3_per_atom": 30.03, "cell": [[5.315, 0.000, 0.000], [0.000, 5.315, 0.000], [0.000, 0.000, 5.315]], "species": ["K", "Ta", "Ag", "Ag", "Ag"], "fractional_positions": [[0.000, 0.000, 0.000], [0.500, 0.500, 0.500], [0.000, 0.500, 0.500], [0.500, 0.000, 0.500], [0.500, 0.500, 0.000]]}

---

Q: Which of them is the most stable? A: model B.

---

Model A:
{"formula": "KTc3Ag", "functional": "PBE", "state": "relaxed", "crystal_system": "cubic", "spacegroup": "Pm-3m, No. 221", "volume_a3_per_atom": 18.41, "cell": [[4.515, 0.000, 0.000], [0.000, 4.515, 0.000], [0.000, 0.000, 4.515]], "species": ["K", "Tc", "Tc", "Tc", "Ag"], "fractional_positions": [[0.000, 0.000, 0.000], [0.000, 0.000, 0.500], [0.000, 0.500, 0.000], [0.500, 0.000, 0.000], [0.500, 0.500, 0.500]]}

---

Model B:
{"formula": "KTc3Ag", "functional": "PBE", "state": "relaxed", "crystal_system": "cubic", "spacegroup": "Pm-3m, No. 221", "volume_a3_per_atom": 27.40, "cell": [[5.155, 0.000, 0.000], [0.000, 5.155, 0.000], [0.000, 0.000, 5.155]], "species": ["K", "Tc", "Tc", "Tc", "Ag"], "fractional_positions": [[0.000, 0.000, 0.000], [0.000, 0.500, 0.500], [0.500, 0.000, 0.500], [0.500, 0.500, 0.000], [0.500, 0.500, 0.500]]}

---

Q: Which of them is the most stable? A: model B.

---

Model A:
{"formula": "K2AgTe2", "functional": "PBE", "state": "relaxed", "crystal_system": "tetragonal", "spacegroup": "P4/mbm, No. 127", "volume_a3_per_atom": 33.90, "cell": [[7.982, 0.000, 0.000], [0.000, 7.982, 0.000], [0.000, 0.000, 5.322]], "species": ["K", "K", "K", "K", "Ag", "Ag", "Te", "Te", "Te", "Te"], "fractional_positions": [[0.148, 0.352, 0.000], [0.352, 0.852, 0.000], [0.648, 0.148, 0.000], [0.852, 0.648, 0.000], [0.000, 0.000, 0.500], [0.500, 0.500, 0.500], [0.165, 0.665, 0.500], [0.335, 0.165, 0.500], [0.665, 0.835, 0.500], [0.835, 0.335, 0.500]]}

---

Model B:
{"formula": "K2AgTe2", "functional": "PBE", "state": "relaxed", "crystal_system": "monoclinic", "spacegroup": "C2/m, No. 12", "volume_a3_per_atom": 37.02, "cell": [[6.537, -2.422, 0.000], [6.537, 2.422, 0.000], [-4.158, 0.000, 11.691]], "species": ["K", "K", "K", "K", "Ag", "Ag", "Te", "Te", "Te", "Te"], "fractional_positions": [[0.083, 0.083, 0.411], [0.309, 0.309, 0.843], [0.691, 0.691, 0.157], [0.917, 0.917, 0.589], [0.413, 0.413, 0.179], [0.587, 0.587, 0.821], [0.050, 0.050, 0.912], [0.339, 0.339, 0.356], [0.661, 0.661, 0.644], [0.950, 0.950, 0.088]]}

---

Q: Which of them is the most stable? A: model B.

---

Model A:
{"formula": "K2AgTe2", "functional": "PBE", "state": "relaxed", "crystal_system": "orthorhombic", "spacegroup": "Immm, No. 71", "volume_a3_per_atom": 35.09, "cell": [[-2.154, 3.917, 5.198], [2.154, -3.917, 5.198], [2.154, 3.917, -5.198]], "species": ["K", "K", "Ag", "Te", "Te"], "fractional_positions": [[0.201, 0.201, 0.000], [0.799, 0.799, 0.000], [0.500, 0.000, 0.500], [0.260, 0.500, 0.760], [0.740, 0.500, 0.240]]}

---

Model B:
{"formula": "K2AgTe2", "functional": "PBE", "state": "relaxed", "crystal_system": "tetragonal", "spacegroup": "I4/mmm, No. 139", "volume_a3_per_atom": 41.63, "cell": [[-3.487, 3.487, 4.279], [3.487, -3.487, 4.279], [3.487, 3.487, -4.279]], "species": ["K", "K", "Ag", "Te", "Te"], "fractional_positions": [[0.250, 0.750, 0.500], [0.750, 0.250, 0.500], [0.000, 0.000, 0.000], [0.313, 0.313, 0.000], [0.687, 0.687, 0.000]]}

---

Q: Which of them is the most stable? A: model A.

---

Model A:
{"formula": "KAgTe3", "functional": "PBE", "state": "relaxed", "crystal_system": "cubic", "spacegroup": "Pm-3m, No. 221", "volume_a3_per_atom": 43.59, "cell": [[6.018, 0.000, 0.000], [0.000, 6.018, 0.000], [0.000, 0.000, 6.018]], "species": ["K", "Ag", "Te", "Te", "Te"], "fractional_positions": [[0.000, 0.000, 0.000], [0.500, 0.500, 0.500], [0.000, 0.000, 0.500], [0.000, 0.500, 0.000], [0.500, 0.000, 0.000]]}

---

Model B:
{"formula": "KAgTe3", "functional": "PBE", "state": "relaxed", "crystal_system": "trigonal", "spacegroup": "R-3m, No. 166", "volume_a3_per_atom": 33.60, "cell": [[4.582, 2.645, 2.310], [-4.582, 2.645, 2.310], [0.000, -5.290, 2.310]], "species": ["K", "Ag", "Te", "Te", "Te"], "fractional_positions": [[0.000, 0.000, 0.000], [0.500, 0.500, 0.500], [0.000, 0.500, 0.500], [0.500, 0.000, 0.500], [0.500, 0.500, 0.000]]}

---

Q: Which of them is the most stable? A: model B.

---

Model A:
{"formula": "KAgTe3", "functional": "PBE", "state": "relaxed", "crystal_system": "cubic", "spacegroup": "Pm-3m, No. 221", "volume_a3_per_atom": 34.77, "cell": [[5.581, 0.000, 0.000], [0.000, 5.581, 0.000], [0.000, 0.000, 5.581]], "species": ["K", "Ag", "Te", "Te", "Te"], "fractional_positions": [[0.000, 0.000, 0.000], [0.500, 0.500, 0.500], [0.000, 0.500, 0.500], [0.500, 0.000, 0.500], [0.500, 0.500, 0.000]]}

---

Model B:
{"formula": "KAgTe3", "functional": "PBE", "state": "relaxed", "crystal_system": "monoclinic", "spacegroup": "P2_1/c, No. 14", "volume_a3_per_atom": 35.11, "cell": [[5.876, 0.000, 0.000], [0.000, 8.933, 0.000], [-4.777, 0.000, 13.377]], "species": ["K", "K", "K", "K", "Ag", "Ag", "Ag", "Ag", "Te", "Te", "Te", "Te", "Te", "Te", "Te", "Te", "Te", "Te", "Te", "Te"], "fractional_positions": [[0.232, 0.165, 0.464], [0.232, 0.335, 0.964], [0.768, 0.665, 0.036], [0.768, 0.835, 0.536], [0.151, 0.033, 0.170], [0.151, 0.467, 0.670], [0.849, 0.533, 0.330], [0.849, 0.967, 0.830], [0.050, 0.144, 0.707], [0.050, 0.356, 0.207], [0.276, 0.557, 0.501], [0.276, 0.943, 0.001], [0.387, 0.566, 0.192], [0.387, 0.934, 0.692], [0.613, 0.066, 0.308], [0.613, 0.434, 0.808], [0.724, 0.057, 0.999], [0.724, 0.443, 0.499], [0.950, 0.644, 0.793], [0.950, 0.856, 0.293]]}

---

Q: Which of them is the most stable? A: model B.

---

Model A:
{"formula": "K3Ag4Te4", "functional": "PBE", "state": "relaxed", "crystal_system": "orthorhombic", "spacegroup": "Immm, No. 71", "volume_a3_per_atom": 28.93, "cell": [[-2.574, 3.822, 8.090], [2.574, -3.822, 8.090], [2.574, 3.822, -8.090]], "species": ["K", "K", "K", "Ag", "Ag", "Ag", "Ag", "Te", "Te", "Te", "Te"], "fractional_positions": [[0.000, 0.000, 0.000], [0.380, 0.880, 0.500], [0.620, 0.120, 0.500], [0.019, 0.329, 0.690], [0.360, 0.671, 0.690], [0.640, 0.329, 0.310], [0.981, 0.671, 0.310], [0.222, 0.222, 0.000], [0.288, 0.500, 0.788], [0.712, 0.500, 0.212], [0.778, 0.778, 0.000]]}

---

Model B:
{"formula": "K3Ag4Te4", "functional": "PBE", "state": "relaxed", "crystal_system": "cubic", "spacegroup": "I-43m, No. 217", "volume_a3_per_atom": 31.62, "cell": [[-4.430, 4.430, 4.430], [4.430, -4.430, 4.430], [4.430, 4.430, -4.430]], "species": ["K", "K", "K", "Ag", "Ag", "Ag", "Ag", "Te", "Te", "Te", "Te"], "fractional_positions": [[0.000, 0.500, 0.500], [0.500, 0.000, 0.500], [0.500, 0.500, 0.000], [0.000, 0.000, 0.255], [0.000, 0.255, 0.000], [0.255, 0.000, 0.000], [0.745, 0.745, 0.745], [0.000, 0.000, 0.624], [0.000, 0.624, 0.000], [0.376, 0.376, 0.376], [0.624, 0.000, 0.000]]}

---

Q: Which of them is the most stable? A: model B.

---

Model A:
{"formula": "KTiAg3", "functional": "PBE", "state": "relaxed", "crystal_system": "cubic", "spacegroup": "Pm-3m, No. 221", "volume_a3_per_atom": 29.00, "cell": [[5.253, 0.000, 0.000], [0.000, 5.253, 0.000], [0.000, 0.000, 5.253]], "species": ["K", "Ti", "Ag", "Ag", "Ag"], "fractional_positions": [[0.000, 0.000, 0.000], [0.500, 0.500, 0.500], [0.000, 0.000, 0.500], [0.000, 0.500, 0.000], [0.500, 0.000, 0.000]]}

---

Model B:
{"formula": "KTiAg3", "functional": "PBE", "state": "relaxed", "crystal_system": "cubic", "spacegroup": "Pm-3m, No. 221", "volume_a3_per_atom": 29.43, "cell": [[5.280, 0.000, 0.000], [0.000, 5.280, 0.000], [0.000, 0.000, 5.280]], "species": ["K", "Ti", "Ag", "Ag", "Ag"], "fractional_positions": [[0.000, 0.000, 0.000], [0.500, 0.500, 0.500], [0.000, 0.500, 0.500], [0.500, 0.000, 0.500], [0.500, 0.500, 0.000]]}

---

Q: Which of them is the most stable? A: model B.

---

Model A:
{"formula": "KTiAg2", "functional": "PBE", "state": "relaxed", "crystal_system": "cubic", "spacegroup": "Fm-3m, No. 225", "volume_a3_per_atom": 22.68, "cell": [[0.000, 3.566, 3.566], [3.566, 0.000, 3.566], [3.566, 3.566, 0.000]], "species": ["K", "Ti", "Ag", "Ag"], "fractional_positions": [[0.000, 0.000, 0.000], [0.500, 0.500, 0.500], [0.250, 0.250, 0.250], [0.750, 0.750, 0.750]]}

---

Model B:
{"formula": "KTiAg2", "functional": "PBE", "state": "relaxed", "crystal_system": "tetragonal", "spacegroup": "I-42d, No. 122", "volume_a3_per_atom": 26.88, "cell": [[-4.022, 4.022, 3.323], [4.022, -4.022, 3.323], [4.022, 4.022, -3.323]], "species": ["K", "K", "Ti", "Ti", "Ag", "Ag", "Ag", "Ag"], "fractional_positions": [[0.000, 0.000, 0.000], [0.750, 0.250, 0.500], [0.250, 0.750, 0.500], [0.500, 0.500, 0.000], [0.173, 0.625, 0.048], [0.375, 0.423, 0.548], [0.577, 0.125, 0.952], [0.875, 0.827, 0.452]]}

---

Q: Which of them is the most stable? A: model A.

---

Model A:
{"formula": "K2TiAg", "functional": "PBE", "state": "relaxed", "crystal_system": "tetragonal", "spacegroup": "I-42d, No. 122", "volume_a3_per_atom": 47.01, "cell": [[-5.915, 5.915, 2.687], [5.915, -5.915, 2.687], [5.915, 5.915, -2.687]], "species": ["K", "K", "K", "K", "Ti", "Ti", "Ag", "Ag"], "fractional_positions": [[0.375, 0.240, 0.365], [0.760, 0.125, 0.135], [0.875, 0.010, 0.635], [0.990, 0.625, 0.865], [0.250, 0.750, 0.500], [0.500, 0.500, 0.000], [0.000, 0.000, 0.000], [0.750, 0.250, 0.500]]}

---

Model B:
{"formula": "K2TiAg", "functional": "PBE", "state": "relaxed", "crystal_system": "cubic", "spacegroup": "Fm-3m, No. 225", "volume_a3_per_atom": 37.52, "cell": [[0.000, 4.218, 4.218], [4.218, 0.000, 4.218], [4.218, 4.218, 0.000]], "species": ["K", "K", "Ti", "Ag"], "fractional_positions": [[0.250, 0.250, 0.250], [0.750, 0.750, 0.750], [0.000, 0.000, 0.000], [0.500, 0.500, 0.500]]}

---

Q: Which of them is the most stable? A: model A.

---

Model A:
{"formula": "KTlAg3", "functional": "PBE", "state": "relaxed", "crystal_system": "cubic", "spacegroup": "Pm-3m, No. 221", "volume_a3_per_atom": 32.25, "cell": [[5.443, 0.000, 0.000], [0.000, 5.443, 0.000], [0.000, 0.000, 5.443]], "species": ["K", "Tl", "Ag", "Ag", "Ag"], "fractional_positions": [[0.000, 0.000, 0.000], [0.500, 0.500, 0.500], [0.000, 0.500, 0.500], [0.500, 0.000, 0.500], [0.500, 0.500, 0.000]]}

---

Model B:
{"formula": "KTlAg3", "functional": "PBE", "state": "relaxed", "crystal_system": "cubic", "spacegroup": "Pm-3m, No. 221", "volume_a3_per_atom": 39.32, "cell": [[5.815, 0.000, 0.000], [0.000, 5.815, 0.000], [0.000, 0.000, 5.815]], "species": ["K", "Tl", "Ag", "Ag", "Ag"], "fractional_positions": [[0.000, 0.000, 0.000], [0.500, 0.500, 0.500], [0.000, 0.000, 0.500], [0.000, 0.500, 0.000], [0.500, 0.000, 0.000]]}

---

Q: Which of them is the most stable? A: model A.

---

Model A:
{"formula": "K2VAg", "functional": "PBE", "state": "relaxed", "crystal_system": "cubic", "spacegroup": "Fm-3m, No. 225", "volume_a3_per_atom": 34.90, "cell": [[0.000, 4.117, 4.117], [4.117, 0.000, 4.117], [4.117, 4.117, 0.000]], "species": ["K", "K", "V", "Ag"], "fractional_positions": [[0.250, 0.250, 0.250], [0.750, 0.750, 0.750], [0.000, 0.000, 0.000], [0.500, 0.500, 0.500]]}

---

Model B:
{"formula": "K2VAg", "functional": "PBE", "state": "relaxed", "crystal_system": "tetragonal", "spacegroup": "I-42d, No. 122", "volume_a3_per_atom": 47.88, "cell": [[-6.014, 6.014, 2.648], [6.014, -6.014, 2.648], [6.014, 6.014, -2.648]], "species": ["K", "K", "K", "K", "V", "V", "Ag", "Ag"], "fractional_positions": [[0.375, 0.226, 0.351], [0.774, 0.125, 0.149], [0.875, 0.024, 0.649], [0.976, 0.625, 0.851], [0.250, 0.750, 0.500], [0.500, 0.500, 0.000], [0.000, 0.000, 0.000], [0.750, 0.250, 0.500]]}

---

Q: Which of them is the most stable? A: model B.